Mg17Al11Tl | Alexandria via LeMat-Bulk | PBE | relaxed; DFT formation energy = -0.021 eV per atom; E_tot = -71.24 eV per cell; space-group type = Cm, No. 8
1.0
9.1675 -0.0158 0.0076
-3.0164 8.6570 0.0076
3.0574 4.2951 7.5134
Mg Al Tl
17 11 1
Direct
0.3418 0.3418 0.6629
0.3050 0.3050 0.2857
0.0012 0.6839 0.6034
0.0036 0.0036 0.9984
0.6586 0.0071 0.9946
0.6839 0.0012 0.6034
0.9974 0.3990 0.3164
0.9951 0.9951 0.3456
0.0071 0.6586 0.9946
0.7136 0.3175 0.6832
0.5976 0.2772 0.4056
0.2772 0.5976 0.4056
0.6861 0.3915 0.9983
0.3175 0.7136 0.6832
0.3990 0.9974 0.3164
0.6012 0.6012 0.7165
0.3915 0.6861 0.9983
0.1810 0.8163 0.1853
0.6356 0.8224 0.3714
0.1851 0.3664 0.0016
0.0027 0.3672 0.8162
0.3672 0.0027 0.8162
0.1900 0.0031 0.6328
0.8275 0.8275 0.7972
0.3664 0.1851 0.0016
0.8224 0.6356 0.3714
0.0031 0.1900 0.6328
0.8163 0.1810 0.1853
0.6253 0.6253 0.1761

***

HoTm5Ag4 | Alexandria via LeMat-Bulk | PBE | relaxed; DFT formation energy = -0.260 eV per atom; E_tot = -40.94 eV per cell; space-group type = P4/mmm, No. 123
1.0
3.5607 0.0000 0.0000
0.0000 3.5607 0.0000
0.0000 0.0000 19.4261
Ag Tm Ho
4 5 1
Direct
0.0000 0.0000 0.5931
0.0000 0.0000 0.4069
0.0000 0.0000 0.7812
0.0000 0.0000 0.2188
0.5000 0.5000 0.3119
0.5000 0.5000 0.1253
0.5000 0.5000 0.8747
0.5000 0.5000 0.6881
0.5000 0.5000 0.5000
0.0000 0.0000 0.0000

***

Cs7Au3Cl | Alexandria via LeMat-Bulk | PBE | relaxed; E_tot = -22.91 eV per cell; space-group type = Cm, No. 8; ΔE_f (raw) = -478 meV per atom
1.0
7.7443 -0.1946 3.9605
-1.9698 7.4922 3.9605
-0.4935 -0.6237 10.3295
Cs Au Cl
7 3 1
Direct
0.1362 0.1362 0.1789
0.1833 0.6095 0.2205
0.9340 0.3512 0.7370
0.6095 0.1833 0.2205
0.5837 0.5837 0.4831
0.8432 0.8432 0.7826
0.3512 0.9340 0.7370
0.8009 0.2293 0.4778
0.2293 0.8009 0.4778
0.5065 0.5065 0.8985
0.9472 0.9472 0.0363

***

K2NaOsO6 | Alexandria via LeMat-Bulk | PBE | relaxed; E_tot = -56.06 eV per cell; space-group type = P-3m1, No. 164; ΔE_f (raw) = -1157 meV per atom
1.0
5.9629 0.0000 0.0000
0.0000 6.1251 0.0000
0.0000 -3.0626 5.3045
O Na K Os
6 1 2 1
Direct
0.8169 0.1430 0.2861
0.8169 0.7139 0.8570
0.1831 0.2861 0.1430
0.8169 0.1430 0.8570
0.1831 0.8570 0.7139
0.1831 0.8570 0.1430
0.5000 0.0000 0.0000
0.1421 0.3333 0.6667
0.8579 0.6667 0.3333
0.0000 0.0000 0.0000

***

SrInSn2 | Alexandria via LeMat-Bulk | PBE | relaxed; DFT formation energy = -0.191 eV per atom; E_tot = -26.38 eV per cell; space-group type = I-42d, No. 122
1.0
-0.0204 -1.3987 4.8927
-3.1317 -3.8530 -1.1145
6.7252 -8.8671 0.1395
Sn In Sr
4 2 2
Direct
0.0499 0.6250 0.2500
0.8750 0.9501 0.7500
0.7001 0.1250 0.2500
0.3750 0.2999 0.7500
0.0000 0.0000 0.0000
0.7500 0.2500 0.5000
0.2500 0.7500 0.5000
0.5000 0.5000 0.0000

***

DyAgOsO6 | Alexandria via LeMat-Bulk | PBE | relaxed; E_tot = -61.25 eV per cell; space-group type = P312, No. 149; ΔE_f (raw) = -1424 meV per atom
1.0
-0.0033 4.3593 -3.4241
-3.5975 0.2153 -4.2118
-3.1581 2.2004 2.8073
O Ag Dy Os
6 1 1 1
Direct
0.3448 0.0473 0.7254
0.6081 0.3445 0.7254
0.0474 0.6078 0.7253
0.0473 0.3449 0.2746
0.6078 0.0475 0.2747
0.3445 0.6081 0.2746
0.9999 0.9999 0.0000
0.6666 0.6666 0.5000
0.3333 0.3333 0.5000

***

What is the E_tot in the second record?
-40.94 eV per cell

***

Which formula does entry 4 have?
K2NaOsO6